Below is a relaxed ZrIn6P2 crystal, with properties calculated at the PBE level.

As for the energy of formation: 402.2 meV per atom. The volume comes out at 462.5 Å³/cell. The calculation puts the total energy at -3.58 eV/atom.

The space group is P4/mnc (No. 128) and the conventional cell measures 6.5802, 6.5802 and 10.6810 Å, with angles of 90.00, 90.00 and 90.00 degrees. The asymmetric unit holds Zr at (0.0000, 0.0000, 0.0000), In at (0.0000, 0.0000, 0.2694), In at (0.0926, 0.3032, 0.5000) and P at (0.0000, 0.5000, 0.2500).